Entry 1:
First-principles (PBE) data for an optimized crystal structure of Hf4GeS, as listed in Alexandria.

Raw formation energy ... -2.29 eV per formula unit

Cell: 7.0202 7.0202 7.0202 Å, 106.25 106.25 116.12°
Atoms (fractional coordinates):
Hf 0.1972 0.0000 0.1972
Hf 0.2176 0.5069 0.2893
Hf 0.2176 0.9283 0.7107
Hf 0.2569 0.4676 0.7893
Hf 0.6783 0.4676 0.2107
Hf 0.7500 0.0528 0.3028
Hf 0.7500 0.4472 0.6972
Hf 0.8028 0.0000 0.8028
Ge 0.4753 0.9753 0.5000
Ge 0.7253 0.7253 0.0000
S 0.2434 0.2434 0.0000
S 0.9934 0.4934 0.5000



Entry 2:
First-principles (PBE) data for an optimized crystal structure of HfGeS3, as listed in Alexandria.

Raw formation energy ... -2.31 eV per formula unit

Cell: 4.9239 4.9239 4.9239 Å, 90.00 90.00 90.00°
Atoms (fractional coordinates):
Hf 0.0000 0.0000 0.0000
Ge 0.5000 0.5000 0.5000
S 0.0000 0.0000 0.5000
S 0.0000 0.5000 0.0000
S 0.5000 0.0000 0.0000



Entry 3:
First-principles (PBE) data for an optimized crystal structure of Hf2GeS, as listed in Alexandria.

Raw formation energy ... -3.60 eV per formula unit

Cell: 6.4826 6.4826 6.4826 Å, 33.62 33.62 33.62°
Atoms (fractional coordinates):
Hf 0.2431 0.2431 0.2431
Hf 0.7569 0.7569 0.7569
Ge 0.0000 0.0000 0.0000
S 0.5000 0.5000 0.5000



Entry 4:
First-principles (PBE) data for an optimized crystal structure of HfGeS2, as listed in Alexandria.

Raw formation energy ... -0.90 eV per formula unit

Cell: 8.1118 8.1118 8.1118 Å, 26.11 26.11 26.11°
Atoms (fractional coordinates):
Hf 0.0000 0.0000 0.0000
Ge 0.5000 0.5000 0.5000
S 0.1030 0.1030 0.1030
S 0.8970 0.8970 0.8970



Entry 5:
First-principles (PBE) data for an optimized crystal structure of HfGeS3, as listed in Alexandria.

Raw formation energy ... -5.34 eV per formula unit

Cell: 9.6218 3.6328 14.4023 Å, 90.00 90.00 90.00°
Atoms (fractional coordinates):
Hf 0.1502 0.2500 0.0496
Hf 0.3498 0.7500 0.5496
Hf 0.6502 0.2500 0.4504
Hf 0.8498 0.7500 0.9504
Ge 0.0789 0.2500 0.6490
Ge 0.4211 0.7500 0.1490
Ge 0.5789 0.2500 0.8510
Ge 0.9211 0.7500 0.3510
S 0.0160 0.2500 0.8948
S 0.1828 0.2500 0.4935
S 0.2283 0.7500 0.7049
S 0.2717 0.2500 0.2049
S 0.3172 0.7500 0.9935
S 0.4840 0.7500 0.3948
S 0.5160 0.2500 0.6052
S 0.6828 0.2500 0.0065
S 0.7283 0.7500 0.7951
S 0.7717 0.2500 0.2951
S 0.8172 0.7500 0.5065
S 0.9840 0.7500 0.1052



Entry 6:
First-principles (PBE) data for an optimized crystal structure of Hf2SiGeS, as listed in Alexandria.

Raw formation energy ... 2.32 eV per formula unit

Cell: 5.0083 5.0083 4.3495 Å, 90.00 90.00 90.00°
Atoms (fractional coordinates):
Hf 0.0000 0.5000 0.0000
Hf 0.5000 0.0000 0.0000
Si 0.0000 0.0000 0.0000
Ge 0.0000 0.0000 0.5000
S 0.5000 0.5000 0.5000



Copy entry 1 word for word.
First-principles (PBE) data for an optimized crystal structure of Hf4GeS, as listed in Alexandria.

Raw formation energy ... -2.29 eV per formula unit

Cell: 7.0202 7.0202 7.0202 Å, 106.25 106.25 116.12°
Atoms (fractional coordinates):
Hf 0.1972 0.0000 0.1972
Hf 0.2176 0.5069 0.2893
Hf 0.2176 0.9283 0.7107
Hf 0.2569 0.4676 0.7893
Hf 0.6783 0.4676 0.2107
Hf 0.7500 0.0528 0.3028
Hf 0.7500 0.4472 0.6972
Hf 0.8028 0.0000 0.8028
Ge 0.4753 0.9753 0.5000
Ge 0.7253 0.7253 0.0000
S 0.2434 0.2434 0.0000
S 0.9934 0.4934 0.5000